A plane-wave DFT calculation with PBE-GGA was carried out for a geometry-optimized YCuSn structure.

abc: 11.414 4.247 5.794
angles: 90.00 101.61 90.00
Space group Cm (No. 8)
Symmetry-distinct sites (fractional):
Y  0.000  0.000  0.000 (multiplicity 2)
Y  0.238  0.000  0.610 (multiplicity 2)
Cu  0.184  0.500  0.231 (multiplicity 2)
Cu  0.393  0.500  0.477 (multiplicity 2)
Sn  0.031  0.500  0.547 (multiplicity 2)
Sn  0.309  0.000  0.134 (multiplicity 2)

Computed properties:
For the energy relative to the elements, the calculation gives -0.386 eV/atom. Its calculated volume is 22.925 Å³ per atom. Its total energy is -0.385 Ry/atom.